Entry from the Alexandria database: a crystal of MnRuWS2 relaxed with PBEsol (meta-GGA SCAN).

Cell: 4.531 4.531 4.818 Å, 90.00 90.00 90.00°
Sites, in units of the cell vectors:
1 Mn 0.000 0.000 0.000
2 Ru 0.500 0.500 0.000
3 W 0.500 0.500 0.500
4 S 0.000 0.500 0.500
5 S 0.500 0.000 0.500

## Properties
As for the calculated density: 6.78 g/cm³. For the final energy, the calculation gives -27.7602 eV per atom. Its uncorrected formation energy is 0.64 eV per atom.


Entry from the Alexandria database: a crystal of ScCrOs relaxed with PBEsol (meta-GGA SCAN).

Cell: 4.267 4.267 4.267 Å, 60.00 60.00 60.00°
Sites, in units of the cell vectors:
1 Sc 0.000 0.000 0.000
2 Cr 0.750 0.750 0.750
3 Os 0.250 0.250 0.250

## Properties
As for the calculated density: 8.68 g/cm³. For the formation energy, the calculation gives 0.873 eV per atom. The value obtained for the distance to the lowest polymorph of the same formula is 1243 meV/atom. For the final energy, the calculation gives -33.9610 eV per atom.


Entry from the Alexandria database: a crystal of Zn2NiSbPt relaxed with PBEsol (meta-GGA SCAN).

Cell: 4.675 4.675 4.666 Å, 90.00 90.00 90.00°
Sites, in units of the cell vectors:
1 Zn 0.000 0.500 0.000
2 Zn 0.500 0.000 0.000
3 Ni 0.000 0.000 0.500
4 Sb 0.500 0.500 0.500
5 Pt 0.000 0.000 0.000

## Properties
As for the calculated density: 8.25 g/cm³. For the final energy, the calculation gives -29.7514 eV per atom. Its uncorrected formation energy is 0.38 eV per atom.


Entry from the Alexandria database: a crystal of CsGa2BiW relaxed with PBEsol (meta-GGA SCAN).

Cell: 5.026 5.026 5.632 Å, 90.00 90.00 90.00°
Sites, in units of the cell vectors:
1 Cs 0.000 0.000 0.000
2 Ga 0.000 0.500 0.500
3 Ga 0.500 0.000 0.500
4 Bi 0.500 0.500 0.000
5 W 0.000 0.000 0.500

## Properties
As for the calculated density: 7.76 g/cm³. For the formation energy, the calculation gives 1.157 eV per atom. For the final energy, the calculation gives -42.5973 eV per atom.


Entry from the Alexandria database: a crystal of Cu12As4S13 relaxed with PBEsol (meta-GGA SCAN).

Cell: 8.686 8.686 8.686 Å, 109.47 109.47 109.47°
Sites, in units of the cell vectors:
1 Cu 0.000 0.221 0.221
2 Cu 0.000 0.779 0.779
3 Cu 0.221 0.000 0.221
4 Cu 0.221 0.221 0.000
5 Cu 0.250 0.500 0.750
6 Cu 0.250 0.750 0.500
7 Cu 0.500 0.250 0.750
8 Cu 0.500 0.750 0.250
9 Cu 0.750 0.250 0.500
10 Cu 0.750 0.500 0.250
11 Cu 0.779 0.000 0.779
12 Cu 0.779 0.779 0.000
13 As 0.000 0.000 0.466
14 As 0.000 0.466 0.000
15 As 0.466 0.000 0.000
16 As 0.534 0.534 0.534
17 S 0.000 0.000 0.000
18 S 0.000 0.519 0.759
19 S 0.000 0.759 0.519
20 S 0.240 0.481 0.481
21 S 0.241 0.241 0.760
22 S 0.241 0.760 0.241
23 S 0.481 0.240 0.481
24 S 0.481 0.481 0.240
25 S 0.519 0.000 0.759
26 S 0.519 0.759 0.000
27 S 0.759 0.000 0.519
28 S 0.759 0.519 0.000
29 S 0.760 0.241 0.241

## Properties
As for the calculated density: 4.87 g/cm³. For the final energy, the calculation gives -13.6642 eV per atom. Its uncorrected formation energy is -0.27 eV per atom.


Entry from the Alexandria database: a crystal of CrPt3N relaxed with PBEsol (meta-GGA SCAN).

Cell: 4.124 4.124 4.124 Å, 90.00 90.00 90.00°
Sites, in units of the cell vectors:
1 Cr 0.000 0.000 0.000
2 Pt 0.000 0.500 0.500
3 Pt 0.500 0.000 0.500
4 Pt 0.500 0.500 0.000
5 N 0.500 0.500 0.500

## Properties
As for the calculated density: 15.42 g/cm³. For the final energy, the calculation gives -47.2342 eV per atom. Its uncorrected formation energy is 0.42 eV per atom.


Entry from the Alexandria database: a crystal of ZnP relaxed with PBEsol (meta-GGA SCAN).

Cell: 4.019 4.019 5.424 Å, 99.59 99.59 58.38°
Sites, in units of the cell vectors:
1 Zn 0.134 0.134 0.215
2 Zn 0.866 0.866 0.785
3 P 0.470 0.470 0.288
4 P 0.530 0.530 0.712

## Properties
As for the calculated density: 4.37 g/cm³. For the formation energy, the calculation gives -0.122 eV per atom. For the final energy, the calculation gives -12.0786 eV per atom.


Entry from the Alexandria database: a crystal of P2PbC relaxed with PBEsol (meta-GGA SCAN).

Cell: 4.531 4.531 4.531 Å, 60.00 60.00 60.00°
Sites, in units of the cell vectors:
1 P 0.250 0.250 0.250
2 P 0.750 0.750 0.750
3 Pb 0.000 0.000 0.000
4 C 0.500 0.500 0.500

## Properties
As for the calculated density: 7.10 g/cm³. For the formation energy, the calculation gives 2.041 eV per atom. For the final energy, the calculation gives -24.6283 eV per atom.